1.
Density functional theory data (PBE) for a relaxed structure of Pm2Pr3Sm6Pb.

Summary:
Total moment in μB/cell: 0.0
Energy of formation from the pure elements in eV/atom: -0.060
Raw total energy in eV/atom: -4.716
Crystal system: monoclinic

Unit cell a=6.2609 b=10.8644 c=11.9923 alpha=90.00 beta=100.19 gamma=90.00
Space group C2/m (No. 12)
Unique sites:
Pm1 0.0000 0.1657 0.0000 (multiplicity 4)
Pr1 0.0000 0.0000 0.5000 (multiplicity 2)
Pr2 0.0000 0.3307 0.5000 (multiplicity 4)
Sm1 0.2429 0.5000 0.7527 (multiplicity 4)
Sm2 0.2437 0.3376 0.2450 (multiplicity 8)
Pb1 0.0000 0.5000 0.0000 (multiplicity 2)

***

2.
Density functional theory data (PBE) for a relaxed structure of Ba4Li2Cl.

Summary:
Total moment in μB/cell: 0.5
Energy relative to the elements, uncorrected in meV/atom: -382
Raw total energy in eV/atom: -2.292
Crystal system: tetragonal

Unit cell a=6.1494 b=6.1494 c=17.9217 alpha=90.00 beta=90.00 gamma=90.00
Space group I4/mmm (No. 139)
Unique sites:
Ba1 0.0000 0.0000 0.1909 (multiplicity 4)
Ba2 0.0000 0.5000 0.0000 (multiplicity 4)
Li1 0.0000 0.0000 0.3881 (multiplicity 4)
Cl1 0.0000 0.0000 0.0000 (multiplicity 2)